# Co3SbF

A geometry-optimized Co3SbF structure (PBE with a Hubbard U, Alexandria via LeMat-Bulk).

Structure (CIF):
```
data_Co3SbF
_chemical_formula_sum 'Co3 Sb1 F1'
_symmetry_space_group_name_H-M 'P 1'
_symmetry_Int_Tables_number 1
_cell_length_a 4.9209
_cell_length_b 4.9209
_cell_length_c 4.9209
_cell_angle_alpha 90.00
_cell_angle_beta 90.00
_cell_angle_gamma 90.00
loop_
_symmetry_equiv_pos_as_xyz
'x,y,z'
loop_
_atom_site_label
_atom_site_type_symbol
_atom_site_fract_x
_atom_site_fract_y
_atom_site_fract_z
Co1 Co 0.0000 0.0000 0.5000
Co2 Co 0.0000 0.5000 0.0000
Co3 Co 0.5000 0.0000 0.0000
Sb1 Sb 0.0000 0.0000 0.0000
F1 F 0.5000 0.5000 0.5000
```

Output
Spin magnetization in μB/f.u.: 7.0
Distance to the lowest polymorph of the same formula in meV/atom: 910.7
Space-group type: Pm-3m
Energy in eV for the cell shown: -16.11